# CsLiS

A relaxed CsLiS crystal (PBE, the Alexandria database).

The space group is I4mm (No. 107) and the conventional cell measures 3.7711, 3.7711 and 11.7141 Å, with angles of 90.00, 90.00 and 90.00 degrees. The distinct sites, in fractional coordinates, are Cs at (0.0000, 0.0000, 0.0000), Li at (0.0000, 0.0000, 0.2405) and S at (0.0000, 0.0000, 0.7077).

For the raw formation energy, the calculation gives -0.8327 eV/atom. For the mass density, the calculation gives 3.43 Mg/m³.